Entry 1:
Compound: ZrTaNb
Source: Alexandria via LeMat-Bulk
Functional: PBE
Structure: relaxed

Lattice parameters (Å, degrees): 4.763 4.763 3.001 90.00 90.00 120.00
Atoms (fractional coordinates):
Zr 0.000 0.000 0.000
Ta 0.333 0.667 0.402
Nb 0.667 0.333 0.657

Summary:
ΔH_f (0 K) ... 0.08 eV/atom
Crystal system ... trigonal
Calculated density ... 10.28 g/cm3
Energy ... -10.076 eV/atom
Space group ... No. 156
Spin magnetization ... 0.00 μB per formula unit
E above lowest polymorph ... 0.10 eV/f.u.

***

Entry 2:
Compound: CsSrMg2
Source: Alexandria via LeMat-Bulk
Functional: PBE
Structure: relaxed

Lattice parameters (Å, degrees): 8.094 8.094 8.094 103.60 103.60 122.00
Atoms (fractional coordinates):
Cs 0.000 0.000 0.000
Cs 0.750 0.250 0.500
Sr 0.250 0.750 0.500
Sr 0.500 0.500 0.000
Mg 0.147 0.625 0.022
Mg 0.375 0.397 0.522
Mg 0.603 0.125 0.978
Mg 0.875 0.853 0.478

Summary:
ΔH_f (0 K) ... 0.41 eV/atom
Crystal system ... tetragonal
Calculated density ... 2.27 g/cm3
Energy ... -1.024 eV/atom
Space group ... No. 122
Spin magnetization ... 0.00 μB per formula unit
E above lowest polymorph ... 0.70 eV/f.u.

***

Entry 3:
Compound: PmSbRuAu
Source: Alexandria via LeMat-Bulk
Functional: PBE
Structure: relaxed

Lattice parameters (Å, degrees): 4.924 4.924 4.924 60.00 60.00 60.00
Atoms (fractional coordinates):
Pm 0.000 0.000 0.000
Sb 0.500 0.500 0.500
Ru 0.750 0.750 0.750
Au 0.250 0.250 0.250

Summary:
Crystal system ... cubic
Calculated density ... 11.11 g/cm3
Energy ... -5.567 eV/atom
Space group ... No. 216
Spin magnetization ... 0.00 μB per formula unit
Raw formation energy ... -210.8 meV/atom

***

Entry 4:
Compound: FeTc2SeN
Source: Alexandria via LeMat-Bulk
Functional: PBE
Structure: relaxed

Lattice parameters (Å, degrees): 3.907 3.907 4.594 90.00 90.00 90.00
Atoms (fractional coordinates):
Fe 0.000 0.000 0.000
Tc 0.000 0.500 0.500
Tc 0.500 0.000 0.500
Se 0.500 0.500 0.000
N 0.500 0.500 0.500

Summary:
Crystal system ... tetragonal
Calculated density ... 8.16 g/cm3
Energy ... -7.325 eV/atom
Space group ... No. 123
Spin magnetization ... 0.00 μB per formula unit
Raw formation energy ... 875.7 meV/atom

***

Entry 5:
Compound: AcPm4Pr3
Source: Alexandria via LeMat-Bulk
Functional: PBE
Structure: relaxed

Lattice parameters (Å, degrees): 12.057 7.497 6.474 90.00 90.00 90.00
Atoms (fractional coordinates):
Ac 0.000 0.126 0.000
Ac 0.500 0.874 0.500
Pm 0.000 0.382 0.493
Pm 0.000 0.623 0.993
Pm 0.248 0.621 0.665
Pm 0.252 0.379 0.165
Pm 0.500 0.377 0.493
Pm 0.500 0.618 0.993
Pm 0.748 0.379 0.165
Pm 0.752 0.621 0.665
Pr 0.000 0.869 0.496
Pr 0.249 0.129 0.659
Pr 0.251 0.871 0.159
Pr 0.500 0.131 0.996
Pr 0.749 0.871 0.159
Pr 0.751 0.129 0.659

Summary:
ΔH_f (0 K) ... 0.04 eV/atom
Crystal system ... orthorhombic
Calculated density ... 6.98 g/cm3
Energy ... -4.640 eV/atom
Space group ... No. 31
Spin magnetization ... 0.00 μB per formula unit
E above lowest polymorph ... 0.15 eV/f.u.

***

Entry 6:
Compound: Al4CoPt
Source: Alexandria via LeMat-Bulk
Functional: PBE
Structure: relaxed

Lattice parameters (Å, degrees): 4.973 4.973 4.973 60.00 60.00 60.00
Atoms (fractional coordinates):
Al 0.125 0.125 0.125
Al 0.125 0.125 0.626
Al 0.125 0.626 0.125
Al 0.626 0.125 0.125
Co 0.750 0.750 0.750
Pt 0.500 0.500 0.500

Summary:
ΔH_f (0 K) ... 0.02 eV/atom
Crystal system ... cubic
Calculated density ... 6.91 g/cm3
Energy ... -4.663 eV/atom
Space group ... No. 216
Spin magnetization ... 0.00 μB per formula unit

***

> calculated density of number 4 (FeTc2SeN)?

8.16 g/cm3

***

> Which formula does entry 1 have?

ZrTaNb

***

What did the first record say?
Compound: ZrTaNb
Source: Alexandria via LeMat-Bulk
Functional: PBE
Structure: relaxed

Lattice parameters (Å, degrees): 4.763 4.763 3.001 90.00 90.00 120.00
Atoms (fractional coordinates):
Zr 0.000 0.000 0.000
Ta 0.333 0.667 0.402
Nb 0.667 0.333 0.657

Summary:
ΔH_f (0 K) ... 0.08 eV/atom
Crystal system ... trigonal
Calculated density ... 10.28 g/cm3
Energy ... -10.076 eV/atom
Space group ... No. 156
Spin magnetization ... 0.00 μB per formula unit
E above lowest polymorph ... 0.10 eV/f.u.

***

> Number 2 is which compound?

CsSrMg2